No. 1
First-principles (PBE-GGA) data for crystalline Cs2KNaO2 at its relaxed geometry, as listed in the Alexandria database.

Lattice parameters (Å, degrees): 8.3112 8.3112 8.3112 133.77 66.00 135.64
Last column: nearest neighbours and their distance in Å.
Sites, in units of the cell vectors:
Cs1 0.1834 0.1872 0.3706  2 O 2.88-3.14
Cs2 0.3166 0.6872 0.0038  2 O 2.88-3.14
Cs3 0.6834 0.3128 0.9962  2 O 2.88-3.14
Cs4 0.8166 0.8128 0.6294  2 O 2.88-3.14
K1 0.2500 0.7500 0.5000  4 O 2.79
K2 0.7500 0.2500 0.5000  4 O 2.79
Na1 0.2500 0.2500 0.0000  4 O 2.49
Na2 0.7500 0.7500 0.0000  4 O 2.49
O1 0.0965 0.7870 0.8836  2 Na 2.49, 2 K 2.79
O2 0.4035 0.2870 0.6905  2 Na 2.49, 2 K 2.79
O3 0.5965 0.7130 0.3095  2 Na 2.49, 2 K 2.79
O4 0.9035 0.2130 0.1164  2 Na 2.49, 2 K 2.79

Its total moment is 0.1 μB/f.u. The calculation puts the density at 4.19 Mg/m³. Its total energy is -39.81 eV for the cell shown. Its space-group type is No. 72.


No. 2
First-principles (PBE-GGA) data for crystalline La2AgOs at its relaxed geometry, as listed in the Alexandria database.

Lattice parameters (Å, degrees): 5.6787 5.6787 5.6787 133.88 133.88 67.27
Last column: nearest neighbours and their distance in Å.
Sites, in units of the cell vectors:
La1 0.0000 0.0000 0.0000  4 Ag 3.15, 4 La 3.25, 4 Os 3.25
La2 0.7500 0.2500 0.5000  4 Os 3.15, 4 Ag 3.25, 4 La 3.25
Ag1 0.5000 0.5000 0.0000  8 La 3.15-3.25, 4 Os 3.25
Os1 0.2500 0.7500 0.5000  8 La 3.15-3.25, 4 Ag 3.25

Its total moment is 0.0 μB/f.u. The calculation puts the density at 10.22 Mg/m³. Its total energy is -23.45 eV for the cell shown. Its space-group type is No. 119.


No. 3
First-principles (PBE-GGA) data for crystalline CaLa2Se at its relaxed geometry, as listed in the Alexandria database.

Lattice parameters (Å, degrees): 7.7979 7.7979 7.7979 151.97 143.30 46.80
Last column: nearest neighbours and their distance in Å.
Sites, in units of the cell vectors:
Ca1 0.0000 0.0000 0.0000  2 Se 3.17
La1 0.3172 0.8172 0.5000  4 Se 3.10
La2 0.6451 0.6451 0.0000  2 Se 3.16, 2 La 3.48
Se1 0.8219 0.3219 0.5000  6 La 3.10-3.16, 2 Ca 3.17

Its total moment is 0.0 μB/f.u. The calculation puts the density at 4.97 Mg/m³. Its total energy is -18.18 eV for the cell shown. Its space-group type is No. 44.


No. 4
First-principles (PBE-GGA) data for crystalline Ba2TeI at its relaxed geometry, as listed in the Alexandria database.

Lattice parameters (Å, degrees): 4.9840 4.9840 8.6778 106.73 106.73 60.05
Last column: nearest neighbours and their distance in Å.
Sites, in units of the cell vectors:
Ba1 0.2431 0.2431 0.2290  3 Te 3.43, 3 I 3.63-3.64
Ba2 0.7569 0.7569 0.7710  3 Te 3.43, 3 I 3.63-3.64
Te1 0.5000 0.5000 0.0000  6 Ba 3.43
I1 0.0000 0.0000 0.5000  6 Ba 3.63-3.64

Its total moment is 0.0 μB/f.u. The calculation puts the distance to the lowest polymorph of the same formula at 0.000 eV per atom. The calculation puts the density at 4.99 Mg/m³. Its space-group type is No. 12.